Entry from OQMD: a relaxed structure of LaHAu (GGA-PBE).

Computed properties:
total moment: 0.002 μB/atom
space group: P4/nmm
VASP energy: -13.77 eV/f.u.

Cell: 3.9600 3.9600 7.4060 Å, 90.00 90.00 90.00°
With the nearest neighbours (Å) after each atom.
Positions (direct):
1 H 0.5000 0.5000 0.5000  4 La 2.43
2 H 0.0000 0.0000 0.5000  4 La 2.43
3 La 0.5000 0.0000 0.3106  4 H 2.43
4 La 0.0000 0.5000 0.6894  4 H 2.43
5 Au 0.0000 0.5000 0.1118  5 La 3.13-3.16, 4 Au 3.25, 4 H 3.49
6 Au 0.5000 0.0000 0.8882  5 La 3.13-3.16, 4 Au 3.25, 4 H 3.49